(1)
DFT (GGA-PBE) results for a relaxed BaIn2Pd crystal.

Computed properties:
SG   R-3m (166)

Cell lengths 4.6783, 4.6783, 6.8491 Å; angles 70.03, 70.03, 60.00 degrees
Closest atoms and distances in Å follow each position.
Fractional coordinates of all 4 atoms:
Ba  0.0000  0.0000  0.0000  8 In 3.60-3.91
In  0.2072  0.2072  0.3785  3 Pd 2.81, 3 In 3.10
In  0.7928  0.7928  0.6215  3 Pd 2.81, 3 In 3.10
Pd  0.5000  0.5000  0.5000  6 In 2.81



(2)
DFT (GGA-PBE) results for a relaxed Ba12InPd5 crystal.

Computed properties:
SG   Immm (71)

Cell lengths 9.8964, 9.8964, 9.8964 Å; angles 106.17, 112.67, 109.63 degrees
Closest atoms and distances in Å follow each position.
Fractional coordinates of all 18 atoms:
Ba  0.8154  0.6081  0.7927  2 Pd 3.24-3.25
Ba  0.1846  0.9774  0.7927  2 Pd 3.24-3.25
Ba  0.4837  0.1823  0.3015  2 Pd 3.32
Ba  0.3099  0.6722  0.9821  3 Pd 3.25-3.28
Ba  0.1192  0.8177  0.3015  2 Pd 3.32
Ba  0.8808  0.1823  0.6985  2 Pd 3.32
Ba  0.3099  0.3278  0.6377  3 Pd 3.25-3.28
Ba  0.5163  0.8177  0.6985  2 Pd 3.32
Ba  0.8154  0.0226  0.2073  2 Pd 3.24-3.25
Ba  0.6901  0.6722  0.3623  3 Pd 3.25-3.28
Ba  0.6901  0.3278  0.0179  3 Pd 3.25-3.28
Ba  0.1846  0.3919  0.2073  2 Pd 3.24-3.25
Pd  0.6299  0.6299  0.0000  1 Pd 2.96, 6 Ba 3.25-3.28
Pd  0.5000  0.8814  0.3814  1 Pd 2.82
Pd  0.0000  0.0000  0.0000  4 Ba 3.24
Pd  0.5000  0.1186  0.6186  1 Pd 2.82
Pd  0.3701  0.3701  0.0000  1 Pd 2.96, 6 Ba 3.25-3.28
In  0.0000  0.5000  0.5000  12 Ba 3.97-4.23



(3)
DFT (GGA-PBE) results for a relaxed BaIn4Pd8 crystal.

Computed properties:
SG   I4/mmm (139)

Cell lengths 5.8827, 7.1772, 7.1772 Å; angles 80.33, 65.81, 65.81 degrees
Closest atoms and distances in Å follow each position.
Fractional coordinates of all 13 atoms:
Pd  0.5000  0.2257  0.7743  4 In 2.75, 4 Pd 2.90-2.96
Pd  0.5000  0.7743  0.2257  4 In 2.75, 4 Pd 2.90-2.96
Pd  0.6509  0.3491  0.3491  3 Pd 2.79-2.90, 4 In 2.89
Pd  0.7257  0.7743  0.7743  4 In 2.75, 4 Pd 2.90-2.96
Pd  0.0000  0.6509  0.3491  3 Pd 2.79-2.90, 4 In 2.89
Pd  0.3491  0.6509  0.6509  3 Pd 2.79-2.90, 4 In 2.89
Pd  0.2743  0.2257  0.2257  4 In 2.75, 4 Pd 2.90-2.96
Pd  0.0000  0.3491  0.6509  3 Pd 2.79-2.90, 4 In 2.89
Ba  0.0000  0.0000  0.0000  12 Pd 3.23-3.61, 8 In 3.59
In  0.0000  0.0000  0.5000  8 Pd 2.75-2.89, 2 In 2.94
In  0.0000  0.5000  0.0000  8 Pd 2.75-2.89, 2 In 2.94
In  0.5000  0.5000  0.0000  8 Pd 2.75-2.89, 2 In 2.94
In  0.5000  0.0000  0.5000  8 Pd 2.75-2.89, 2 In 2.94



(4)
DFT (GGA-PBE) results for a relaxed BaIn9Pd2 crystal.

Computed properties:
SG   P6/mmm (191)

Cell lengths 4.3322, 9.1779, 9.1779 Å; angles 120.00, 90.00, 90.00 degrees
Closest atoms and distances in Å follow each position.
Fractional coordinates of all 12 atoms:
In  0.5000  0.5901  0.7950  2 Pd 2.98, 6 In 3.24-3.26
In  0.5000  0.2050  0.7950  2 Pd 2.98, 6 In 3.24-3.26
In  0.5000  0.2050  0.4099  2 Pd 2.98, 6 In 3.24-3.26
In  0.5000  0.7950  0.5901  2 Pd 2.98, 6 In 3.24-3.26
In  0.0000  0.5000  0.5000  2 Pd 2.65
In  0.0000  0.0000  0.5000  2 Pd 2.65
In  0.0000  0.5000  0.0000  2 Pd 2.65
In  0.5000  0.7950  0.2050  2 Pd 2.98, 6 In 3.24-3.26
In  0.5000  0.4099  0.2050  2 Pd 2.98, 6 In 3.24-3.26
Pd  0.0000  0.3333  0.6667  3 In 2.65
Pd  0.0000  0.6667  0.3333  3 In 2.65
Ba  0.0000  0.0000  0.0000  12 In 3.91, 2 Ba 4.33



(5)
DFT (GGA-PBE) results for a relaxed Ba5InPd2 crystal.

Computed properties:
SG   I4/mcm (140)

Cell lengths 8.8210, 8.8210, 10.2254 Å; angles 115.55, 115.55, 90.00 degrees
Closest atoms and distances in Å follow each position.
Fractional coordinates of all 16 atoms:
Ba  0.0000  0.0000  0.0000  4 Pd 3.52, 8 Ba 3.94
Ba  0.9651  0.4651  0.2712  3 Pd 3.40-3.42, 2 In 3.76
Ba  0.5349  0.6940  0.7288  3 Pd 3.40-3.42, 2 In 3.76
Ba  0.6940  0.1940  0.7288  3 Pd 3.40-3.42, 2 In 3.76
Ba  0.0349  0.5349  0.7288  3 Pd 3.40-3.42, 2 In 3.76
Ba  0.5000  0.5000  0.0000  4 Pd 3.52, 8 Ba 3.94
Ba  0.1940  0.0349  0.7288  3 Pd 3.40-3.42, 2 In 3.76
Ba  0.4651  0.3060  0.2712  3 Pd 3.40-3.42, 2 In 3.76
Ba  0.3060  0.8060  0.2712  3 Pd 3.40-3.42, 2 In 3.76
Ba  0.8060  0.9651  0.2712  3 Pd 3.40-3.42, 2 In 3.76
In  0.2500  0.2500  0.5000  10 Ba 3.76-4.05
In  0.7500  0.7500  0.5000  10 Ba 3.76-4.05
Pd  0.1192  0.3808  0.0000  1 Pd 2.97
Pd  0.3808  0.8808  0.0000  1 Pd 2.97
Pd  0.8808  0.6192  0.0000  1 Pd 2.97
Pd  0.6192  0.1192  0.0000  1 Pd 2.97



(6)
DFT (GGA-PBE) results for a relaxed BaIn3Pd crystal.

Computed properties:
SG   Pm-3m (221)

Cell lengths 5.2935, 5.2935, 5.2935 Å; angles 90.00, 90.00, 90.00 degrees
Closest atoms and distances in Å follow each position.
Fractional coordinates of all 5 atoms:
Pd  0.0000  0.0000  0.0000  6 In 2.65
In  0.0000  0.0000  0.5000  2 Pd 2.65
In  0.5000  0.0000  0.0000  2 Pd 2.65
In  0.0000  0.5000  0.0000  2 Pd 2.65
Ba  0.5000  0.5000  0.5000  12 In 3.74



(7)
DFT (GGA-PBE) results for a relaxed BaIn2Pd crystal.

Computed properties:
SG   Fm-3m (225)

Cell lengths 5.3087, 5.3087, 5.3087 Å; angles 60.00, 60.00, 60.00 degrees
Closest atoms and distances in Å follow each position.
Fractional coordinates of all 4 atoms:
In  0.2500  0.2500  0.2500  4 Ba 3.25, 4 Pd 3.25
In  0.7500  0.7500  0.7500  4 Ba 3.25, 4 Pd 3.25
Pd  0.0000  0.0000  0.0000  8 In 3.25
Ba  0.5000  0.5000  0.5000  8 In 3.25



(8)
DFT (GGA-PBE) results for a relaxed BaIn4Pd2 crystal.

Computed properties:
SG   Pnma (62)

Cell lengths 4.5860, 8.0067, 19.1408 Å; angles 90.00, 90.00, 90.00 degrees
Closest atoms and distances in Å follow each position.
Fractional coordinates of all 28 atoms:
In  0.7500  0.1565  0.8111  4 Pd 2.79-2.94, 1 In 3.12
In  0.7500  0.4965  0.5945  4 Pd 2.73-2.83
In  0.2500  0.5035  0.4055  4 Pd 2.73-2.83
In  0.2500  0.2672  0.5379  3 Pd 2.80-3.10, 3 In 3.13
In  0.7500  0.0035  0.0945  4 Pd 2.73-2.83
In  0.7500  0.3435  0.3111  4 Pd 2.79-2.94, 1 In 3.12
In  0.2500  0.2328  0.0379  3 Pd 2.80-3.10, 3 In 3.13
In  0.7500  0.7317  0.2986  3 Pd 2.78-2.82
In  0.2500  0.6565  0.6889  4 Pd 2.79-2.94, 1 In 3.12
In  0.2500  0.9965  0.9055  4 Pd 2.73-2.83
In  0.2500  0.2317  0.2014  3 Pd 2.78-2.82
In  0.7500  0.7683  0.7986  3 Pd 2.78-2.82
In  0.2500  0.8435  0.1889  4 Pd 2.79-2.94, 1 In 3.12
In  0.7500  0.7328  0.4621  3 Pd 2.80-3.10, 3 In 3.13
In  0.2500  0.2683  0.7014  3 Pd 2.78-2.82
In  0.7500  0.7672  0.9621  3 Pd 2.80-3.10, 3 In 3.13
Ba  0.2500  0.0223  0.3809  10 In 3.59-3.94, 4 Pd 3.60-3.78
Ba  0.7500  0.9777  0.6191  10 In 3.59-3.94, 4 Pd 3.60-3.78
Ba  0.2500  0.4777  0.8809  10 In 3.59-3.94, 4 Pd 3.60-3.78
Ba  0.7500  0.5223  0.1191  10 In 3.59-3.94, 4 Pd 3.60-3.78
Pd  0.7500  0.0444  0.2360  7 In 2.73-2.94
Pd  0.7500  0.3462  0.4608  7 In 2.80-3.10
Pd  0.7500  0.4556  0.7360  7 In 2.73-2.94
Pd  0.2500  0.6538  0.5392  7 In 2.80-3.10
Pd  0.7500  0.1538  0.9608  7 In 2.80-3.10
Pd  0.2500  0.8462  0.0392  7 In 2.80-3.10
Pd  0.2500  0.9556  0.7640  7 In 2.73-2.94
Pd  0.2500  0.5444  0.2640  7 In 2.73-2.94



(9)
DFT (GGA-PBE) results for a relaxed Ba3InPd crystal.

Computed properties:
SG   C2/m (12)

Cell lengths 9.3133, 9.3133, 11.7837 Å; angles 57.74, 57.74, 29.30 degrees
Closest atoms and distances in Å follow each position.
Fractional coordinates of all 10 atoms:
Ba  0.5941  0.5941  0.0485  3 Pd 3.16-3.21
Ba  0.1365  0.1365  0.2927  3 Pd 3.36-3.56, 2 In 3.69
Ba  0.1688  0.1688  0.6837  3 In 3.67-4.06, 1 Pd 3.74
Ba  0.4059  0.4059  0.9515  3 Pd 3.16-3.21
Ba  0.8312  0.8312  0.3163  3 In 3.67-4.06, 1 Pd 3.74
Ba  0.8635  0.8635  0.7073  3 Pd 3.36-3.56, 2 In 3.69
Pd  0.7663  0.7663  0.0649  2 Pd 3.04, 5 Ba 3.16-3.36
Pd  0.2337  0.2337  0.9351  2 Pd 3.04, 5 Ba 3.16-3.36
In  0.5622  0.5622  0.5768  1 In 3.57, 7 Ba 3.67-3.83
In  0.4378  0.4378  0.4232  1 In 3.57, 7 Ba 3.67-3.83



| no. | DOS at the Fermi energy (states/eV/f.u.) | formation energy from the elements (eV per atom) |
| --- | --- | --- |
| 1 | 4.023 | -0.47 |
| 2 | 17.347 | -0.36 |
| 3 | 5.437 | -0.42 |
| 4 | 4.025 | -0.30 |
| 5 | 6.142 | -0.43 |
| 6 | 4.548 | -0.36 |
| 7 | 1.725 | -0.23 |
| 8 | 2.956 | -0.52 |
| 9 | 3.670 | -0.36 |